(1)
VASP calculation (PBE) on a relaxed ZnBi2ClF crystal.

As for the space group: P4/mmm, No. 123. Its density of states at the Fermi level is 2.38 states/eV/cell. The total energy is -0.1093 Ha/atom.

a b c (Å): 5.6948 5.6948 3.8383
angles (deg): 90.00 90.00 90.00
With the nearest neighbours (Å) after each atom.
Sites, in units of the cell vectors:
Zn (0.0000, 0.0000, 0.0000)  2 F 1.92
Bi (0.0000, 0.5000, 0.0000)  2 Zn 2.85
Bi (0.5000, 0.0000, 0.0000)  2 Zn 2.85
Cl (0.5000, 0.5000, 0.5000)  8 Bi 3.43, 2 Cl 3.84
F (0.0000, 0.0000, 0.5000)  2 Zn 1.92

---

(2)
VASP calculation (PBE) on a relaxed FeBi4Cl2 crystal.

As for the space group: I4/mmm, No. 139. Its density of states at the Fermi level is 4.16 states/eV/cell. The total energy is -0.1407 Ha/atom.

a b c (Å): 8.4938 8.4938 8.4938
angles (deg): 144.21 144.21 51.52
With the nearest neighbours (Å) after each atom.
Sites, in units of the cell vectors:
Fe (0.0000, 0.0000, 0.0000)  6 Bi 2.61-2.63
Bi (0.0000, 0.5000, 0.5000)  2 Fe 2.61
Bi (0.1722, 0.1722, 0.0000)  1 Fe 2.63
Bi (0.5000, 0.0000, 0.5000)  2 Fe 2.61
Bi (0.8278, 0.8278, 0.0000)  1 Fe 2.63
Cl (0.3938, 0.3938, 0.0000)  5 Bi 3.07-3.39, 1 Cl 3.25
Cl (0.6062, 0.6062, 0.0000)  5 Bi 3.07-3.39, 1 Cl 3.25

---

(3)
VASP calculation (PBE) on a relaxed FeBi2Cl crystal.

As for the space group: I-42d, No. 122. Its density of states at the Fermi level is 0.40 states/eV/cell. For the energy relative to the lowest polymorph listed for this composition, the calculation gives 0 meV per atom. The total energy is -0.1561 Ha/atom.

a b c (Å): 7.8251 7.8251 7.8251
angles (deg): 132.34 132.34 69.70
With the nearest neighbours (Å) after each atom.
Sites, in units of the cell vectors:
Fe (0.0000, 0.0000, 0.0000)  4 Bi 2.47
Fe (0.7500, 0.2500, 0.5000)  4 Bi 2.47
Bi (0.0362, 0.6250, 0.9112)  2 Fe 2.47
Bi (0.3750, 0.2862, 0.4112)  2 Fe 2.47
Bi (0.7138, 0.1250, 0.0888)  2 Fe 2.47
Bi (0.8750, 0.9638, 0.5888)  2 Fe 2.47
Cl (0.2500, 0.7500, 0.5000)  4 Bi 3.11
Cl (0.5000, 0.5000, 0.0000)  4 Bi 3.11

---

(4)
VASP calculation (PBE) on a relaxed Fe3BiCl12 crystal.

As for the space group: P6_3/m, No. 176. The total energy is -0.1461 Ha/atom.

a b c (Å): 13.4140 13.4140 7.1325
angles (deg): 90.00 90.00 120.00
With the nearest neighbours (Å) after each atom.
Sites, in units of the cell vectors:
Fe (0.1221, 0.4253, 0.2500)  4 Cl 2.14-2.30
Fe (0.3032, 0.8779, 0.2500)  4 Cl 2.14-2.30
Fe (0.4253, 0.3032, 0.7500)  4 Cl 2.14-2.30
Fe (0.5747, 0.6968, 0.2500)  4 Cl 2.14-2.30
Fe (0.6968, 0.1221, 0.7500)  4 Cl 2.14-2.30
Fe (0.8779, 0.5747, 0.7500)  4 Cl 2.14-2.30
Bi (0.3333, 0.6667, 0.7500)  6 Cl 2.77
Bi (0.6667, 0.3333, 0.2500)  6 Cl 2.77
Cl (0.0108, 0.4983, 0.2500)  1 Fe 2.16
Cl (0.0338, 0.2412, 0.2500)  1 Fe 2.14
Cl (0.2074, 0.9662, 0.2500)  1 Fe 2.14
Cl (0.2394, 0.7596, 0.5078)  1 Fe 2.30
Cl (0.2394, 0.7596, 0.9922)  1 Fe 2.30
Cl (0.2404, 0.4798, 0.5078)  1 Fe 2.30
Cl (0.2404, 0.4798, 0.9922)  1 Fe 2.30
Cl (0.2412, 0.2074, 0.7500)  1 Fe 2.14
Cl (0.4798, 0.2394, 0.0078)  1 Fe 2.30
Cl (0.4798, 0.2394, 0.4922)  1 Fe 2.30
Cl (0.4875, 0.9892, 0.2500)  1 Fe 2.16
Cl (0.4983, 0.4875, 0.7500)  1 Fe 2.16
Cl (0.5017, 0.5125, 0.2500)  1 Fe 2.16
Cl (0.5125, 0.0108, 0.7500)  1 Fe 2.16
Cl (0.5202, 0.7606, 0.5078)  1 Fe 2.30
Cl (0.5202, 0.7606, 0.9922)  1 Fe 2.30
Cl (0.7588, 0.7926, 0.2500)  1 Fe 2.14
Cl (0.7596, 0.5202, 0.0078)  1 Fe 2.30
Cl (0.7596, 0.5202, 0.4922)  1 Fe 2.30
Cl (0.7606, 0.2404, 0.0078)  1 Fe 2.30
Cl (0.7606, 0.2404, 0.4922)  1 Fe 2.30
Cl (0.7926, 0.0338, 0.7500)  1 Fe 2.14
Cl (0.9662, 0.7588, 0.7500)  1 Fe 2.14
Cl (0.9892, 0.5017, 0.7500)  1 Fe 2.16

---

(5)
VASP calculation (PBE) on a relaxed FeBiCl3 crystal.

As for the space group: Pm-3m, No. 221. Its density of states at the Fermi level is 36.12 states/eV/cell. For the energy relative to the lowest polymorph listed for this composition, the calculation gives 390 meV per atom. The total energy is -0.1246 Ha/atom.

a b c (Å): 5.5312 5.5312 5.5312
angles (deg): 90.00 90.00 90.00
With the nearest neighbours (Å) after each atom.
Sites, in units of the cell vectors:
Fe (0.0000, 0.0000, 0.0000)  12 Cl 3.91
Bi (0.5000, 0.5000, 0.5000)  6 Cl 2.77
Cl (0.0000, 0.5000, 0.5000)  2 Bi 2.77
Cl (0.5000, 0.0000, 0.5000)  2 Bi 2.77
Cl (0.5000, 0.5000, 0.0000)  2 Bi 2.77

---

(6)
VASP calculation (PBE) on a relaxed Fe3BiCl crystal.

As for the space group: Pm-3m, No. 221. Its density of states at the Fermi level is 5.30 states/eV/cell. For the energy relative to the lowest polymorph listed for this composition, the calculation gives 0 meV per atom. The total energy is -0.1997 Ha/atom.

a b c (Å): 4.3746 4.3746 4.3746
angles (deg): 90.00 90.00 90.00
With the nearest neighbours (Å) after each atom.
Sites, in units of the cell vectors:
Fe (0.0000, 0.0000, 0.5000)  2 Cl 2.19
Fe (0.0000, 0.5000, 0.0000)  2 Cl 2.19
Fe (0.5000, 0.0000, 0.0000)  2 Cl 2.19
Bi (0.5000, 0.5000, 0.5000)  12 Fe 3.09
Cl (0.0000, 0.0000, 0.0000)  6 Fe 2.19

---

(7)
VASP calculation (PBE) on a relaxed FeBiCl2 crystal.

As for the space group: Fm-3m, No. 225. Its density of states at the Fermi level is 4.50 states/eV/cell. For the energy relative to the lowest polymorph listed for this composition, the calculation gives 441 meV per atom. The total energy is -0.1337 Ha/atom.

a b c (Å): 4.9976 4.9976 4.9976
angles (deg): 60.00 60.00 60.00
With the nearest neighbours (Å) after each atom.
Sites, in units of the cell vectors:
Fe (0.0000, 0.0000, 0.0000)  8 Cl 3.06
Bi (0.5000, 0.5000, 0.5000)  8 Cl 3.06
Cl (0.2500, 0.2500, 0.2500)  4 Fe 3.06, 4 Bi 3.06
Cl (0.7500, 0.7500, 0.7500)  4 Fe 3.06, 4 Bi 3.06

---

(8)
VASP calculation (PBE) on a relaxed FeBi2Cl crystal.

As for the space group: Fm-3m, No. 225. Its density of states at the Fermi level is 2.52 states/eV/cell. For the energy relative to the lowest polymorph listed for this composition, the calculation gives 74 meV per atom. The total energy is -0.1534 Ha/atom.

a b c (Å): 5.1001 5.1001 5.1001
angles (deg): 60.00 60.00 60.00
With the nearest neighbours (Å) after each atom.
Sites, in units of the cell vectors:
Fe (0.0000, 0.0000, 0.0000)  8 Bi 3.12
Bi (0.2500, 0.2500, 0.2500)  4 Cl 3.12, 4 Fe 3.12
Bi (0.7500, 0.7500, 0.7500)  4 Cl 3.12, 4 Fe 3.12
Cl (0.5000, 0.5000, 0.5000)  8 Bi 3.12

---

(9)
VASP calculation (PBE) on a relaxed FeBiCl2 crystal.

As for the space group: R-3m, No. 166. Its density of states at the Fermi level is 4.10 states/eV/cell. For the energy relative to the lowest polymorph listed for this composition, the calculation gives 0 meV per atom. The total energy is -0.1499 Ha/atom.

a b c (Å): 9.7101 9.7101 9.7101
angles (deg): 20.53 20.53 20.53
With the nearest neighbours (Å) after each atom.
Sites, in units of the cell vectors:
Fe (0.0000, 0.0000, 0.0000)  2 Cl 2.16
Bi (0.5000, 0.5000, 0.5000)  6 Cl 3.27, 6 Bi 3.46
Cl (0.0757, 0.0757, 0.0757)  1 Fe 2.16
Cl (0.9243, 0.9243, 0.9243)  1 Fe 2.16

---

(10)
VASP calculation (PBE) on a relaxed Fe3BiCl crystal.

As for the space group: Pm-3m, No. 221. Its density of states at the Fermi level is 9.45 states/eV/cell. For the energy relative to the lowest polymorph listed for this composition, the calculation gives 546 meV per atom. The total energy is -0.1796 Ha/atom.

a b c (Å): 5.1092 5.1092 5.1092
angles (deg): 90.00 90.00 90.00
With the nearest neighbours (Å) after each atom.
Sites, in units of the cell vectors:
Fe (0.0000, 0.0000, 0.5000)  2 Bi 2.55
Fe (0.0000, 0.5000, 0.0000)  2 Bi 2.55
Fe (0.5000, 0.0000, 0.0000)  2 Bi 2.55
Bi (0.0000, 0.0000, 0.0000)  6 Fe 2.55
Cl (0.5000, 0.5000, 0.5000)  12 Fe 3.61

---

(11)
VASP calculation (PBE) on a relaxed FeBiCl2 crystal.

As for the space group: I-42d, No. 122. Its density of states at the Fermi level is 6.96 states/eV/cell. For the energy relative to the lowest polymorph listed for this composition, the calculation gives 338 meV per atom. The total energy is -0.1375 Ha/atom.

a b c (Å): 6.6340 6.6340 6.6340
angles (deg): 120.87 120.87 88.50
With the nearest neighbours (Å) after each atom.
Sites, in units of the cell vectors:
Fe (0.0000, 0.0000, 0.0000)  4 Cl 2.13
Fe (0.7500, 0.2500, 0.5000)  4 Cl 2.13
Bi (0.2500, 0.7500, 0.5000)  4 Cl 3.29
Bi (0.5000, 0.5000, 0.0000)  4 Cl 3.29
Cl (0.3750, 0.2292, 0.3542)  2 Fe 2.13
Cl (0.7708, 0.1250, 0.1458)  2 Fe 2.13
Cl (0.8750, 0.0208, 0.6458)  2 Fe 2.13
Cl (0.9792, 0.6250, 0.8542)  2 Fe 2.13

---

(12)
VASP calculation (PBE) on a relaxed Fe2BiCl8 crystal.

As for the space group: C2/m, No. 12. Its density of states at the Fermi level is 5.49 states/eV/cell. The total energy is -0.1487 Ha/atom.

a b c (Å): 8.2226 8.2226 6.4675
angles (deg): 94.15 94.15 62.07
With the nearest neighbours (Å) after each atom.
Sites, in units of the cell vectors:
Fe (0.1786, 0.1786, 0.1226)  4 Cl 2.15-2.32
Fe (0.8214, 0.8214, 0.8774)  4 Cl 2.15-2.32
Bi (0.0000, 0.0000, 0.5000)  6 Cl 2.74-2.77
Cl (0.1117, 0.7045, 0.7449)  1 Fe 2.32
Cl (0.1634, 0.1634, 0.7699)  1 Fe 2.27
Cl (0.2955, 0.8883, 0.2551)  1 Fe 2.32
Cl (0.3256, 0.3256, 0.2415)  1 Fe 2.15
Cl (0.6744, 0.6744, 0.7585)  1 Fe 2.15
Cl (0.7045, 0.1117, 0.7449)  1 Fe 2.32
Cl (0.8366, 0.8366, 0.2301)  1 Fe 2.27
Cl (0.8883, 0.2955, 0.2551)  1 Fe 2.32

---

| no. | ρ (g cm⁻³) | formation energy without anion corrections (eV/f.u.) |
| --- | --- | --- |
| 1 | 7.2 | -2.117 |
| 2 | 7.7 | 0.877 |
| 3 | 6.6 | 1.080 |
| 4 | 2.4 | -12.179 |
| 5 | 3.6 | 0.932 |
| 6 | 8.2 | 3.941 |
| 7 | 6.3 | 1.484 |
| 8 | 9.0 | 1.374 |
| 9 | 5.7 | -0.280 |
| 10 | 5.1 | 6.673 |
| 11 | 5.5 | 1.072 |
| 12 | 2.6 | -8.944 |